1.
# Tb2Nd2SmY4 (PBE-GGA, optimized geometry)
# * theoretical density: 6.2 Mg/m³
# * raw total energy: -5.49 eV per atom
# * M_tot: 0.0000 μB per atom
# * DOS at the Fermi energy: 12.6 states/eV/f.u.
data_Tb2Nd2SmY4
_chemical_formula_sum 'Tb4 Nd4 Sm2 Y8'
_cell_length_a 18.847
_cell_length_b 3.632
_cell_length_c 9.647
_cell_angle_alpha 90.00
_cell_angle_beta 115.72
_cell_angle_gamma 90.00
_space_group_name_H-M_alt 'C 1 2/m 1'
_space_group_IT_number 12
loop_
_space_group_symop_operation_xyz
'x,y,z'
'-x,-y,-z'
'-x,y,-z'
'x,-y,z'
'x+1/2,y+1/2,z'
'-x+1/2,-y+1/2,-z'
'-x+1/2,y+1/2,-z'
'x+1/2,-y+1/2,z'
loop_
_atom_site_label
_atom_site_fract_x
_atom_site_fract_y
_atom_site_fract_z
Tb1 0.148 0.000 0.164
Nd1 0.166 0.500 0.499
Sm1 0.000 0.000 0.500
Y1 0.019 0.500 0.836
Y2 0.186 0.000 0.836


2.
# Tb4Nd2Sm2Y (PBE-GGA, optimized geometry)
# * theoretical density: 7.3 Mg/m³
# * raw total energy: -4.88 eV per atom
# * M_tot: 0.0000 μB per atom
# * DOS at the Fermi energy: 12.1 states/eV/f.u.
data_Tb4Nd2Sm2Y
_chemical_formula_sum 'Tb8 Nd4 Sm4 Y2'
_cell_length_a 18.878
_cell_length_b 3.637
_cell_length_c 9.672
_cell_angle_alpha 90.00
_cell_angle_beta 115.72
_cell_angle_gamma 90.00
_space_group_name_H-M_alt 'C 1 2/m 1'
_space_group_IT_number 12
loop_
_space_group_symop_operation_xyz
'x,y,z'
'-x,-y,-z'
'-x,y,-z'
'x,-y,z'
'x+1/2,y+1/2,z'
'-x+1/2,-y+1/2,-z'
'-x+1/2,y+1/2,-z'
'x+1/2,-y+1/2,z'
loop_
_atom_site_label
_atom_site_fract_x
_atom_site_fract_y
_atom_site_fract_z
Tb1 0.019 0.000 0.333
Tb2 0.185 0.500 0.335
Nd1 0.166 0.000 0.000
Sm1 0.147 0.500 0.664
Y1 0.000 0.500 0.000


3.
# TbNd4Sm2Y2 (PBE-GGA, optimized geometry)
# * theoretical density: 6.6 Mg/m³
# * raw total energy: -5.10 eV per atom
# * M_tot: 0.0000 μB per atom
# * DOS at the Fermi energy: 14.2 states/eV/f.u.
data_TbNd4Sm2Y2
_chemical_formula_sum 'Tb2 Nd8 Sm4 Y4'
_cell_length_a 15.436
_cell_length_b 5.143
_cell_length_c 8.109
_cell_angle_alpha 90.00
_cell_angle_beta 108.55
_cell_angle_gamma 90.00
_space_group_name_H-M_alt 'C 1 2/m 1'
_space_group_IT_number 12
loop_
_space_group_symop_operation_xyz
'x,y,z'
'-x,-y,-z'
'-x,y,-z'
'x,-y,z'
'x+1/2,y+1/2,z'
'-x+1/2,-y+1/2,-z'
'-x+1/2,y+1/2,-z'
'x+1/2,-y+1/2,z'
loop_
_atom_site_label
_atom_site_fract_x
_atom_site_fract_y
_atom_site_fract_z
Tb1 0.000 0.000 0.000
Nd1 0.055 0.500 0.332
Nd2 0.222 0.000 0.332
Sm1 0.111 0.000 0.668
Y1 0.167 0.500 0.000


4.
# TbNd2SmY2 (PBE-GGA, optimized geometry)
# * theoretical density: 6.3 Mg/m³
# * raw total energy: -5.05 eV per atom
# * M_tot: 0.0000 μB per atom
# * DOS at the Fermi energy: 9.0 states/eV/f.u.
data_TbNd2SmY2
_chemical_formula_sum 'Tb2 Nd4 Sm2 Y4'
_cell_length_a 6.719
_cell_length_b 17.801
_cell_length_c 3.417
_cell_angle_alpha 90.00
_cell_angle_beta 90.00
_cell_angle_gamma 90.00
_space_group_name_H-M_alt 'P n n m'
_space_group_IT_number 58
loop_
_space_group_symop_operation_xyz
'x,y,z'
'-x,-y,-z'
'-x,-y,z'
'x,y,-z'
'x+1/2,-y+1/2,-z+1/2'
'-x+1/2,y+1/2,z+1/2'
'-x+1/2,y+1/2,-z+1/2'
'x+1/2,-y+1/2,z+1/2'
loop_
_atom_site_label
_atom_site_fract_x
_atom_site_fract_y
_atom_site_fract_z
Tb1 0.000 0.000 0.000
Nd1 0.237 0.350 0.500
Sm1 0.000 0.500 0.000
Y1 0.240 0.178 0.000


5.
# Tb2NdSmY6 (PBE-GGA, optimized geometry)
# * theoretical density: 5.7 Mg/m³
# * raw total energy: -5.63 eV per atom
# * M_tot: 0.0000 μB per atom
# * DOS at the Fermi energy: 15.9 states/eV/f.u.
data_Tb2NdSmY6
_chemical_formula_sum 'Tb8 Nd4 Sm4 Y24'
_cell_length_a 9.154
_cell_length_b 15.035
_cell_length_c 9.748
_cell_angle_alpha 90.00
_cell_angle_beta 98.98
_cell_angle_gamma 90.00
_space_group_name_H-M_alt 'C 1 2/c 1'
_space_group_IT_number 15
loop_
_space_group_symop_operation_xyz
'x,y,z'
'-x,-y,-z'
'-x,y,-z+1/2'
'x,-y,z+1/2'
'x+1/2,y+1/2,z'
'-x+1/2,-y+1/2,-z'
'-x+1/2,y+1/2,-z+1/2'
'x+1/2,-y+1/2,z+1/2'
loop_
_atom_site_label
_atom_site_fract_x
_atom_site_fract_y
_atom_site_fract_z
Tb1 0.242 0.050 0.046
Nd1 0.000 0.406 0.250
Sm1 0.000 0.023 0.750
Y1 0.067 0.185 0.443
Y2 0.099 0.394 0.619
Y3 0.203 0.225 0.818


6.
# Tb5NdSm2Y (PBE-GGA, optimized geometry)
# * theoretical density: 7.4 Mg/m³
# * raw total energy: -4.60 eV per atom
# * M_tot: 0.0000 μB per atom
# * DOS at the Fermi energy: 11.3 states/eV/f.u.
data_Tb5NdSm2Y
_chemical_formula_sum 'Tb20 Nd4 Sm8 Y4'
_cell_length_a 8.795
_cell_length_b 8.795
_cell_length_c 15.441
_cell_angle_alpha 90.00
_cell_angle_beta 90.00
_cell_angle_gamma 90.00
_space_group_name_H-M_alt 'I 4/m c m'
_space_group_IT_number 140
_space_group_name_Hall '-I 4 2c'
loop_
_atom_site_label
_atom_site_fract_x
_atom_site_fract_y
_atom_site_fract_z
Tb1 0.000 0.000 0.000
Tb2 0.209 0.291 0.136
Nd1 0.000 0.000 0.250
Sm1 0.116 0.384 0.500
Y1 0.000 0.500 0.250